Material: Sm9Tm4Al11
Method: DFT, PBE
State: optimized geometry

Unit cell a=3.440 b=13.563 c=13.563 alpha=108.82 beta=90.00 gamma=90.00
Fractional coordinates of all 24 atoms:
Al  0.000  0.778  0.778
Al  0.000  0.222  0.222
Al  0.000  0.949  0.583
Al  0.000  0.000  0.000
Al  0.000  0.819  0.181
Al  0.000  0.417  0.051
Al  0.000  0.583  0.949
Al  0.000  0.376  0.624
Al  0.000  0.181  0.819
Al  0.000  0.624  0.376
Al  0.000  0.051  0.417
Sm  0.500  0.023  0.206
Sm  0.500  0.845  0.382
Sm  0.500  0.794  0.977
Sm  0.500  0.206  0.023
Sm  0.500  0.500  0.500
Sm  0.500  0.382  0.845
Sm  0.500  0.977  0.794
Sm  0.500  0.155  0.618
Sm  0.500  0.618  0.155
Tm  0.500  0.246  0.417
Tm  0.500  0.754  0.583
Tm  0.500  0.583  0.754
Tm  0.500  0.417  0.246

calculated formation energy: -29.1 kJ per mole of atoms

=====

Material: SmTm3Al
Method: DFT, PBE
State: optimized geometry

Unit cell a=9.023 b=8.349 c=8.349 alpha=108.23 beta=97.02 gamma=97.02
Fractional coordinates of all 20 atoms:
Tm  0.071  0.819  0.967
Tm  0.571  0.967  0.819
Tm  0.918  0.956  0.643
Tm  0.082  0.044  0.357
Tm  0.429  0.033  0.181
Tm  0.418  0.643  0.956
Tm  0.582  0.357  0.044
Tm  0.777  0.262  0.389
Tm  0.929  0.181  0.033
Tm  0.277  0.389  0.262
Tm  0.223  0.738  0.611
Tm  0.723  0.611  0.738
Sm  0.580  0.751  0.391
Sm  0.920  0.609  0.249
Sm  0.080  0.391  0.751
Sm  0.420  0.249  0.609
Al  0.750  0.878  0.122
Al  0.750  0.258  0.742
Al  0.250  0.742  0.258
Al  0.250  0.122  0.878

calculated formation energy: -1.4 kJ per mole of atoms
relative energy among the computed polymorphs: 0.64 eV per formula unit

=====

Material: Sm12Tm6Al
Method: DFT, PBE
State: optimized geometry

Unit cell a=8.501 b=8.501 c=8.501 alpha=88.78 beta=88.78 gamma=88.78
Fractional coordinates of all 19 atoms:
Sm  0.786  0.537  0.434
Sm  0.983  0.826  0.637
Sm  0.537  0.434  0.786
Sm  0.826  0.637  0.983
Sm  0.174  0.363  0.017
Sm  0.463  0.566  0.214
Sm  0.434  0.786  0.537
Sm  0.017  0.174  0.363
Sm  0.363  0.017  0.174
Sm  0.566  0.214  0.463
Sm  0.214  0.463  0.566
Sm  0.637  0.983  0.826
Tm  0.277  0.744  0.900
Tm  0.900  0.277  0.744
Tm  0.100  0.723  0.256
Tm  0.256  0.100  0.723
Tm  0.744  0.900  0.277
Tm  0.723  0.256  0.100
Al  0.000  0.000  0.000

calculated formation energy: 8.2 kJ per mole of atoms

=====

Material: Sm5TmAl2
Method: DFT, PBE
State: optimized geometry

Unit cell a=5.367 b=5.367 c=19.874 alpha=90.00 beta=90.00 gamma=120.00
Fractional coordinates of all 16 atoms:
Al  0.667  0.333  0.898
Al  0.333  0.667  0.102
Al  0.667  0.333  0.602
Al  0.333  0.667  0.398
Sm  0.000  0.000  0.156
Sm  0.333  0.667  0.945
Sm  0.333  0.667  0.750
Sm  0.000  0.000  0.656
Sm  0.333  0.667  0.555
Sm  0.000  0.000  0.344
Sm  0.667  0.333  0.055
Sm  0.667  0.333  0.445
Sm  0.000  0.000  0.844
Sm  0.667  0.333  0.250
Tm  0.667  0.333  0.750
Tm  0.333  0.667  0.250

calculated formation energy: -3.2 kJ per mole of atoms
relative energy among the computed polymorphs: 0.20 eV per formula unit

=====

Material: Sm5TmAl4
Method: DFT, PBE
State: optimized geometry

Unit cell a=3.656 b=3.656 c=19.839 alpha=90.00 beta=90.00 gamma=90.00
Fractional coordinates of all 10 atoms:
Sm  0.500  0.500  0.500
Sm  0.500  0.500  0.875
Sm  0.500  0.500  0.125
Sm  0.500  0.500  0.688
Sm  0.500  0.500  0.312
Al  0.000  0.000  0.406
Al  0.000  0.000  0.218
Al  0.000  0.000  0.782
Al  0.000  0.000  0.594
Tm  0.000  0.000  0.000

calculated formation energy: -26.9 kJ per mole of atoms

=====

Material: Sm4TmAl4
Method: DFT, PBE
State: optimized geometry

Unit cell a=5.973 b=8.834 c=8.834 alpha=90.00 beta=90.00 gamma=90.00
Fractional coordinates of all 18 atoms:
Sm  0.624  0.829  0.574
Sm  0.124  0.926  0.329
Sm  0.876  0.671  0.926
Sm  0.376  0.426  0.829
Sm  0.624  0.171  0.426
Sm  0.376  0.574  0.171
Sm  0.876  0.329  0.074
Sm  0.124  0.074  0.671
Al  0.394  0.189  0.092
Al  0.106  0.311  0.408
Al  0.394  0.811  0.908
Al  0.606  0.092  0.811
Al  0.606  0.908  0.189
Al  0.106  0.689  0.592
Al  0.894  0.592  0.311
Al  0.894  0.408  0.689
Tm  0.000  0.000  0.000
Tm  0.500  0.500  0.500

calculated formation energy: -15.4 kJ per mole of atoms

=====

Material: Sm5TmAl3
Method: DFT, PBE
State: optimized geometry

Unit cell a=6.739 b=9.198 c=9.198 alpha=120.00 beta=90.00 gamma=90.00
Fractional coordinates of all 18 atoms:
Sm  0.500  0.333  0.667
Sm  0.000  0.667  0.333
Sm  0.250  0.666  0.000
Sm  0.750  0.334  0.000
Sm  0.750  0.000  0.334
Sm  0.750  0.666  0.666
Sm  0.000  0.333  0.667
Sm  0.250  0.000  0.666
Sm  0.500  0.667  0.333
Sm  0.250  0.334  0.334
Al  0.750  0.000  0.672
Al  0.750  0.672  0.000
Al  0.250  0.328  0.000
Al  0.250  0.672  0.672
Al  0.750  0.328  0.328
Al  0.250  0.000  0.328
Tm  0.500  0.000  0.000
Tm  0.000  0.000  0.000

calculated formation energy: -23.9 kJ per mole of atoms

=====

Material: SmTmAl2
Method: DFT, PBE
State: optimized geometry

Unit cell a=3.585 b=3.585 c=9.494 alpha=79.12 beta=79.12 gamma=60.00
Fractional coordinates of all 4 atoms:
Al  0.252  0.252  0.244
Al  0.748  0.748  0.756
Tm  0.000  0.000  0.000
Sm  0.500  0.500  0.500

calculated formation energy: -13.8 kJ per mole of atoms

=====

Material: Sm12Tm5Al2
Method: DFT, PBE
State: optimized geometry

Unit cell a=8.013 b=9.712 c=8.903 alpha=73.36 beta=90.00 gamma=114.36
Fractional coordinates of all 19 atoms:
Sm  0.387  0.306  0.528
Sm  0.940  0.281  0.129
Sm  0.080  0.694  0.472
Sm  0.521  0.043  0.308
Sm  0.060  0.719  0.871
Sm  0.341  0.281  0.129
Sm  0.613  0.694  0.472
Sm  0.048  0.095  0.830
Sm  0.659  0.719  0.871
Sm  0.479  0.957  0.692
Sm  0.952  0.905  0.170
Sm  0.920  0.306  0.528
Al  0.662  0.000  0.000
Al  0.338  0.000  0.000
Tm  0.315  0.629  0.172
Tm  0.000  0.000  0.500
Tm  0.248  0.496  0.778
Tm  0.685  0.371  0.828
Tm  0.752  0.504  0.222

calculated formation energy: 6.2 kJ per mole of atoms

=====

Material: SmTm2Al
Method: DFT, PBE
State: optimized geometry

Unit cell a=3.423 b=3.423 c=11.622 alpha=81.53 beta=81.53 gamma=60.00
Fractional coordinates of all 4 atoms:
Al  0.500  0.500  0.500
Tm  0.101  0.101  0.698
Tm  0.899  0.899  0.302
Sm  0.000  0.000  0.000

calculated formation energy: 9.2 kJ per mole of atoms
relative energy among the computed polymorphs: 1.18 eV per formula unit

=====

Material: Sm12Tm3Al
Method: DFT, PBE
State: optimized geometry

Unit cell a=5.005 b=5.005 c=20.264 alpha=90.00 beta=90.00 gamma=90.00
Fractional coordinates of all 16 atoms:
Sm  0.500  0.000  0.882
Sm  0.500  0.500  0.755
Sm  0.500  0.000  0.373
Sm  0.500  0.000  0.627
Sm  0.000  0.500  0.882
Sm  0.500  0.000  0.118
Sm  0.500  0.500  0.000
Sm  0.500  0.500  0.500
Sm  0.000  0.500  0.627
Sm  0.000  0.500  0.373
Sm  0.500  0.500  0.245
Sm  0.000  0.500  0.118
Tm  0.000  0.000  0.500
Tm  0.000  0.000  0.753
Tm  0.000  0.000  0.247
Al  0.000  0.000  0.000

calculated formation energy: -1.7 kJ per mole of atoms

=====

Material: SmTm4Al5
Method: DFT, PBE
State: optimized geometry

Unit cell a=3.570 b=3.570 c=17.941 alpha=90.00 beta=90.00 gamma=90.00
Fractional coordinates of all 10 atoms:
Al  0.500  0.500  0.304
Al  0.500  0.500  0.500
Al  0.500  0.500  0.696
Al  0.500  0.500  0.109
Al  0.500  0.500  0.891
Sm  0.000  0.000  0.000
Tm  0.000  0.000  0.794
Tm  0.000  0.000  0.598
Tm  0.000  0.000  0.206
Tm  0.000  0.000  0.402

calculated formation energy: -37.1 kJ per mole of atoms

=====

Material: Sm2TmAl
Method: DFT, PBE
State: optimized geometry

Unit cell a=3.537 b=3.537 c=9.169 alpha=90.00 beta=90.00 gamma=90.00
Fractional coordinates of all 4 atoms:
Tm  0.500  0.500  0.500
Sm  0.000  0.000  0.217
Sm  0.000  0.000  0.783
Al  0.500  0.500  0.000

calculated formation energy: -14.3 kJ per mole of atoms
relative energy among the computed polymorphs: 0.15 eV per formula unit

=====

Material: SmTm2Al
Method: DFT, PBE
State: optimized geometry

Unit cell a=5.331 b=5.331 c=5.331 alpha=60.00 beta=60.00 gamma=60.00
Fractional coordinates of all 4 atoms:
Tm  0.750  0.750  0.750
Tm  0.250  0.250  0.250
Sm  0.500  0.500  0.500
Al  0.000  0.000  0.000

calculated formation energy: 0.2 kJ per mole of atoms
relative energy among the computed polymorphs: 0.81 eV per formula unit

=====

Material: SmTm5Al2
Method: DFT, PBE
State: optimized geometry

Unit cell a=3.513 b=8.186 c=8.186 alpha=76.18 beta=77.61 gamma=77.61
Fractional coordinates of all 8 atoms:
Tm  0.363  0.863  0.411
Tm  0.363  0.411  0.863
Tm  0.000  0.500  0.500
Tm  0.637  0.589  0.137
Tm  0.637  0.137  0.589
Sm  0.000  0.000  0.000
Al  0.744  0.756  0.756
Al  0.256  0.244  0.244

calculated formation energy: -10.2 kJ per mole of atoms

=====

Material: SmYTmAl
Method: DFT, PBE
State: optimized geometry

Unit cell a=5.367 b=5.367 c=5.367 alpha=60.00 beta=60.00 gamma=60.00
Fractional coordinates of all 4 atoms:
Al  0.000  0.000  0.000
Sm  0.250  0.250  0.250
Y  0.750  0.750  0.750
Tm  0.500  0.500  0.500

calculated formation energy: -7.2 kJ per mole of atoms
relative energy among the computed polymorphs: 0.51 eV per formula unit

=====

Material: SmYTmAl
Method: DFT, PBE
State: optimized geometry

Unit cell a=3.521 b=3.521 c=9.007 alpha=90.00 beta=90.00 gamma=90.00
Fractional coordinates of all 4 atoms:
Tm  0.500  0.500  0.360
Sm  0.000  0.000  0.076
Al  0.000  0.000  0.567
Y  0.500  0.500  0.781

calculated formation energy: -19.5 kJ per mole of atoms
relative energy among the computed polymorphs: 0.00 eV per formula unit

=====

Material: SmTm2Al2Zn2
Method: DFT, PBE
State: optimized geometry

Unit cell a=4.517 b=4.517 c=9.381 alpha=76.07 beta=76.07 gamma=60.00
Fractional coordinates of all 7 atoms:
Tm  0.129  0.129  0.613
Tm  0.871  0.871  0.387
Zn  0.404  0.404  0.788
Zn  0.596  0.596  0.212
Al  0.259  0.259  0.222
Al  0.741  0.741  0.778
Sm  0.000  0.000  0.000

calculated formation energy: -29.4 kJ per mole of atoms

=====

Material: SmTmZrAl
Method: DFT, PBE
State: optimized geometry

Unit cell a=5.179 b=5.179 c=5.179 alpha=60.00 beta=60.00 gamma=60.00
Fractional coordinates of all 4 atoms:
Al  0.250  0.250  0.250
Zr  0.000  0.000  0.000
Sm  0.500  0.500  0.500
Tm  0.750  0.750  0.750

calculated formation energy: -1.9 kJ per mole of atoms

=====

Material: SmUAl4
Method: DFT, PBE
State: optimized geometry

Unit cell a=5.578 b=5.578 c=5.578 alpha=60.00 beta=60.00 gamma=60.00
Fractional coordinates of all 6 atoms:
Al  0.626  0.626  0.626
Al  0.626  0.626  0.123
Al  0.123  0.626  0.626
Al  0.626  0.123  0.626
U  0.000  0.000  0.000
Sm  0.250  0.250  0.250

calculated formation energy: -22.3 kJ per mole of atoms

=====

Material: SmUAl
Method: DFT, PBE
State: optimized geometry

Unit cell a=3.651 b=6.164 c=13.768 alpha=90.00 beta=90.00 gamma=90.00
Fractional coordinates of all 12 atoms:
Al  0.250  0.407  0.563
Al  0.250  0.093  0.063
Al  0.750  0.907  0.937
Al  0.750  0.593  0.437
Sm  0.250  0.667  0.780
Sm  0.250  0.833  0.280
Sm  0.750  0.167  0.720
Sm  0.750  0.333  0.220
U  0.750  0.084  0.451
U  0.250  0.584  0.049
U  0.750  0.416  0.951
U  0.250  0.916  0.549

calculated formation energy: 8.8 kJ per mole of atoms

=====

DOS(E_F) values, unit states/eV/atom, following the record order: 0.589; 1.292; 1.518; 1.479; 0.715; 0.839; 1.136; 0.471; 1.125; 1.509; 1.376; 0.476; 1.107; 1.527; 1.406; 1.614; 0.832; 0.539; 1.643; 1.679; 1.837.